Material: DyPC
Method: DFT, PBE
State: optimized geometry

The structure in extended XYZ format:
```
6
Lattice="4.089 0.000 0.000 -0.006 4.111 0.000 -1.040 -0.174 6.380" Properties=species:S:1:pos:R:3 pbc="T T T"
Dy 0.382 0.727 1.683
Dy 2.661 3.209 4.697
P 0.611 1.106 4.522
P 2.432 2.830 1.858
C 0.491 -0.098 5.926
C 2.552 4.034 0.455
```

SG   P-1, No. 2
Total magnetization   0.0 μB/cell
Energy of formation   -504 meV/atom


Material: SnBi3Pb2
Method: DFT, PBE
State: optimized geometry

The structure in extended XYZ format:
```
12
Lattice="4.161 0.000 0.000 0.000 13.550 0.000 0.000 0.000 6.939" Properties=species:S:1:pos:R:3 pbc="T T T"
Sn 1.040 3.388 0.921
Sn 3.121 10.163 6.018
Bi 1.040 3.388 4.675
Bi 1.040 8.107 4.754
Bi 1.040 12.218 4.754
Bi 3.121 1.332 2.184
Bi 3.121 5.443 2.184
Bi 3.121 10.163 2.264
Pb 1.040 7.827 1.142
Pb 1.040 12.499 1.142
Pb 3.121 1.051 5.797
Pb 3.121 5.724 5.797
```

SG   Pmmn, No. 59
Energy relative to the lowest polymorph listed for this composition   0 meV per atom
Total magnetization   0.0 μB/cell
Energy of formation   51 meV/atom


Material: LiTl2Cd2Hg7
Method: DFT, PBE
State: optimized geometry

The structure in extended XYZ format:
```
12
Lattice="3.224 -3.113 0.000 3.224 3.113 0.000 -1.500 0.000 15.622" Properties=species:S:1:pos:R:3 pbc="T T T"
Li 0.000 0.000 0.000
Tl 0.064 0.000 5.198
Tl 4.884 0.000 10.424
Cd 1.706 0.000 11.195
Cd 3.242 0.000 4.426
Hg 1.629 1.559 2.243
Hg 0.993 0.000 8.261
Hg 3.319 1.559 13.378
Hg 3.224 0.000 0.000
Hg 1.629 -1.559 2.243
Hg 3.955 0.000 7.361
Hg 3.319 -1.559 13.378
```

SG   C2/m, No. 12
Total magnetization   0.0 μB/cell
Energy of formation   -44 meV/atom


Material: CeHfAu2
Method: DFT, PBE
State: optimized geometry

The structure in extended XYZ format:
```
12
Lattice="3.703 0.000 0.000 -1.852 3.207 0.000 0.000 0.000 24.526" Properties=species:S:1:pos:R:3 pbc="T T T"
Ce 0.000 0.000 0.000
Ce 0.000 2.138 16.350
Ce 1.852 1.069 8.175
Hf 0.000 0.000 12.263
Hf 0.000 2.138 4.088
Hf 1.852 1.069 20.438
Au 0.000 0.000 5.878
Au 0.000 0.000 18.647
Au 0.000 2.138 10.472
Au 0.000 2.138 22.228
Au 1.852 1.069 2.297
Au 1.852 1.069 14.053
```

SG   R-3m, No. 166
Energy relative to the lowest polymorph listed for this composition   186 meV per atom
Total magnetization   3.4 μB/cell
Energy of formation   -323 meV/atom


Material: Pm2AgBi
Method: DFT, PBE
State: optimized geometry

The structure in extended XYZ format:
```
16
Lattice="7.658 0.000 0.000 0.000 7.658 0.000 0.000 0.000 7.658" Properties=species:S:1:pos:R:3 pbc="T T T"
Pm 1.915 1.915 1.915
Pm 1.915 1.915 5.744
Pm 1.915 5.744 1.915
Pm 1.915 5.744 5.744
Pm 5.744 1.915 1.915
Pm 5.744 1.915 5.744
Pm 5.744 5.744 1.915
Pm 5.744 5.744 5.744
Ag 0.000 0.000 0.000
Ag 0.000 3.829 3.829
Ag 3.829 0.000 3.829
Ag 3.829 3.829 0.000
Bi 0.000 0.000 3.829
Bi 0.000 3.829 0.000
Bi 3.829 0.000 0.000
Bi 3.829 3.829 3.829
```

SG   Fm-3m, No. 225
Energy relative to the lowest polymorph listed for this composition   26 meV per atom
Total magnetization   0.0 μB/cell
Energy of formation   -486 meV/atom


Material: LiNd2CoC
Method: DFT, PBE
State: optimized geometry

The structure in extended XYZ format:
```
5
Lattice="5.247 0.000 0.000 0.000 5.247 0.000 0.000 0.000 3.662" Properties=species:S:1:pos:R:3 pbc="T T T"
Li 0.000 0.000 0.000
Nd 0.000 2.623 1.831
Nd 2.623 0.000 1.831
Co 2.623 2.623 0.000
C 2.623 2.623 1.831
```

SG   P4/mmm, No. 123
Total magnetization   0.0 μB/cell
Energy of formation   -120 meV/atom


Material: ScHIr2Rh
Method: DFT, PBE
State: optimized geometry

The structure in extended XYZ format:
```
5
Lattice="3.924 0.000 0.000 0.000 3.924 0.000 0.000 0.000 4.119" Properties=species:S:1:pos:R:3 pbc="T T T"
Sc 0.000 0.000 0.000
H 0.000 0.000 2.059
Ir 0.000 1.962 2.059
Ir 1.962 0.000 2.059
Rh 1.962 1.962 0.000
```

SG   P4/mmm, No. 123
Energy relative to the lowest polymorph listed for this composition   9 meV per atom
Total magnetization   0.0 μB/cell


Material: CaCeTlSn
Method: DFT, PBE
State: optimized geometry

The structure in extended XYZ format:
```
16
Lattice="7.753 0.000 0.000 0.000 7.753 0.000 0.000 0.000 7.753" Properties=species:S:1:pos:R:3 pbc="T T T"
Ca 0.000 0.000 0.000
Ca 0.000 3.877 3.877
Ca 3.877 0.000 3.877
Ca 3.877 3.877 0.000
Ce 0.000 0.000 3.877
Ce 0.000 3.877 0.000
Ce 3.877 0.000 0.000
Ce 3.877 3.877 3.877
Tl 1.938 1.938 1.938
Tl 1.938 5.815 5.815
Tl 5.815 1.938 5.815
Tl 5.815 5.815 1.938
Sn 1.938 1.938 5.815
Sn 1.938 5.815 1.938
Sn 5.815 1.938 1.938
Sn 5.815 5.815 5.815
```

SG   F-43m, No. 216
Energy relative to the lowest polymorph listed for this composition   10 meV per atom
Total magnetization   3.8 μB/cell
Energy of formation   -453 meV/atom


Material: Y3HoH8
Method: DFT, PBE
State: optimized geometry

The structure in extended XYZ format:
```
12
Lattice="5.178 0.000 0.000 0.000 5.178 0.000 0.000 0.000 5.178" Properties=species:S:1:pos:R:3 pbc="T T T"
Y 0.000 0.000 2.589
Y 0.000 2.589 0.000
Y 2.589 0.000 0.000
Ho 2.589 2.589 2.589
H 1.302 1.302 1.302
H 1.302 1.302 3.875
H 1.302 3.875 1.302
H 1.302 3.875 3.875
H 3.875 1.302 1.302
H 3.875 1.302 3.875
H 3.875 3.875 1.302
H 3.875 3.875 3.875
```

Uncorrected energy   -0.3645 Ry/atom
SG   Pm-3m, No. 221
Total magnetization   0.0 μB/cell


Material: SrHgP2
Method: DFT, PBE
State: optimized geometry

The structure in extended XYZ format:
```
4
Lattice="4.176 0.000 0.000 0.000 4.176 0.000 0.000 0.000 6.790" Properties=species:S:1:pos:R:3 pbc="T T T"
Sr 0.000 0.000 0.000
Hg 0.000 0.000 3.395
P 2.088 2.088 1.048
P 2.088 2.088 5.742
```

SG   P4/mmm, No. 123
Total magnetization   0.0 μB/cell
Energy of formation   -362 meV/atom


Material: Ta2HgBi
Method: DFT, PBE
State: optimized geometry

The structure in extended XYZ format:
```
16
Lattice="4.147 0.000 0.000 0.000 4.147 0.000 0.000 0.000 21.081" Properties=species:S:1:pos:R:3 pbc="T T T"
Ta 1.009 1.037 2.635
Ta 1.037 3.082 7.905
Ta 1.037 3.138 18.446
Ta 1.065 1.037 13.176
Ta 3.082 3.110 13.176
Ta 3.110 1.009 18.446
Ta 3.110 1.065 7.905
Ta 3.138 3.110 2.635
Hg 0.000 0.000 0.000
Hg 0.000 2.073 5.270
Hg 2.073 0.000 15.811
Hg 2.073 2.073 10.541
Bi 0.000 0.000 10.541
Bi 0.000 2.073 15.811
Bi 2.073 0.000 5.270
Bi 2.073 2.073 0.000
```

SG   I-42d, No. 122
Energy relative to the lowest polymorph listed for this composition   81 meV per atom
Total magnetization   0.0 μB/cell
Energy of formation   791 meV/atom


Material: ReRu2Pb
Method: DFT, PBE
State: optimized geometry

The structure in extended XYZ format:
```
4
Lattice="2.964 0.000 0.000 0.000 4.545 0.000 -0.349 0.000 4.897" Properties=species:S:1:pos:R:3 pbc="T T T"
Re 0.000 0.000 0.000
Ru 1.030 0.000 2.693
Ru 1.161 2.272 4.259
Pb 2.617 2.272 1.848
```

SG   Pm, No. 6
Total magnetization   0.0 μB/cell
Energy of formation   594 meV/atom